(1)
A geometry-optimized Y2BiW structure, computed with PBE.

Cell: 5.1171 5.1171 5.1171 Å, 60.00 60.00 60.00°
Positions (direct):
W (0.2500, 0.2500, 0.2500)
Y (0.7500, 0.7500, 0.7500)
Bi (0.5000, 0.5000, 0.5000)
Y (0.0000, 0.0000, 0.0000)

uncorrected energy	-7.07	eV/atom
SG	F-43m (216)
calculated density	10.0	g/cm3


(2)
A geometry-optimized ZnBiW structure, computed with PBE.

Cell: 4.6079 4.6079 4.6079 Å, 60.00 60.00 60.00°
Positions (direct):
Bi (0.2500, 0.2500, 0.2500)
Zn (0.7500, 0.7500, 0.7500)
W (0.0000, 0.0000, 0.0000)

uncorrected energy	-5.04	eV/atom
SG	F-43m (216)
calculated density	11.0	g/cm3


(3)
A geometry-optimized ZnBiW2 structure, computed with PBE.

Cell: 4.6944 4.6944 4.6944 Å, 60.00 60.00 60.00°
Positions (direct):
W (0.0000, 0.0000, 0.0000)
W (0.7500, 0.7500, 0.7500)
Bi (0.5000, 0.5000, 0.5000)
Zn (0.2500, 0.2500, 0.2500)

uncorrected energy	-6.93	eV/atom
SG	F-43m (216)
calculated density	14.6	g/cm3


(4)
A geometry-optimized ZrBiW2 structure, computed with PBE.

Cell: 4.7933 4.7933 4.7933 Å, 60.00 60.00 60.00°
Positions (direct):
Zr (0.2500, 0.2500, 0.2500)
Bi (0.5000, 0.5000, 0.5000)
W (0.0000, 0.0000, 0.0000)
W (0.7500, 0.7500, 0.7500)

uncorrected energy	-8.98	eV/atom
SG	F-43m (216)
calculated density	14.2	g/cm3


(5)
A geometry-optimized ZrBiW structure, computed with PBE.

Cell: 4.7157 4.7157 4.7157 Å, 60.00 60.00 60.00°
Positions (direct):
Bi (0.2500, 0.2500, 0.2500)
W (0.0000, 0.0000, 0.0000)
Zr (0.7500, 0.7500, 0.7500)

uncorrected energy	-7.77	eV/atom
SG	F-43m (216)
calculated density	10.8	g/cm3


(6)
A geometry-optimized ZrBi2W structure, computed with PBE.

Cell: 5.0616 5.0616 5.0616 Å, 60.00 60.00 60.00°
Positions (direct):
Bi (0.7500, 0.7500, 0.7500)
Zr (0.5000, 0.5000, 0.5000)
W (0.2500, 0.2500, 0.2500)
Bi (0.0000, 0.0000, 0.0000)

uncorrected energy	-6.80	eV/atom
SG	F-43m (216)
calculated density	12.6	g/cm3


(7)
A geometry-optimized YZn2Bi structure, computed with PBE.

Cell: 5.1354 5.1354 5.1354 Å, 60.00 60.00 60.00°
Positions (direct):
Bi (0.5000, 0.5000, 0.5000)
Zn (0.0000, 0.0000, 0.0000)
Zn (0.7500, 0.7500, 0.7500)
Y (0.2500, 0.2500, 0.2500)

uncorrected energy	-3.33	eV/atom
SG	F-43m (216)
calculated density	7.4	g/cm3


(8)
A geometry-optimized YZrBi2 structure, computed with PBE.

Cell: 5.3835 5.3835 5.3835 Å, 60.00 60.00 60.00°
Positions (direct):
Zr (0.7500, 0.7500, 0.7500)
Bi (0.0000, 0.0000, 0.0000)
Y (0.5000, 0.5000, 0.5000)
Bi (0.2500, 0.2500, 0.2500)

uncorrected energy	-5.74	eV/atom
SG	F-43m (216)
calculated density	9.0	g/cm3


(9)
A geometry-optimized ZnBi structure, computed with PBE.

Cell: 6.8084 6.8084 5.0676 Å, 90.00 90.00 120.01°
Positions (direct):
Zn (0.4678, 0.5322, 0.0000)
Bi (0.8243, 0.1757, 0.5000)
Zn (0.4679, 0.9357, 0.0000)
Bi (0.3514, 0.1757, 0.5000)
Bi (0.0000, 0.0000, 0.0000)
Bi (0.8243, 0.6486, 0.5000)
Zn (0.0643, 0.5321, 0.0000)
Zn (0.3333, 0.6667, 0.5000)

uncorrected energy	-2.40	eV/atom
SG	P-6m2 (187)
calculated density	9.0	g/cm3


(10)
A geometry-optimized Zn2Bi structure, computed with PBE.

Cell: 17.8933 3.3153 4.3191 Å, 90.00 90.00 90.00°
Positions (direct):
Bi (0.2946, 0.5000, 0.5000)
Bi (0.6499, 0.0000, 0.0000)
Zn (0.3701, 0.0000, 0.0000)
Zn (0.4558, 0.0000, 0.5000)
Zn (0.9886, 0.0000, 0.0000)
Zn (0.0744, 0.0000, 0.5000)
Zn (0.9558, 0.5000, 0.5000)
Bi (0.7946, 0.0000, 0.5000)
Zn (0.4886, 0.5000, 0.0000)
Bi (0.1498, 0.5000, 0.0000)
Zn (0.5744, 0.5000, 0.5000)
Zn (0.8701, 0.5000, 0.0000)

uncorrected energy	-2.07	eV/atom
SG	Cmcm (63)
calculated density	8.8	g/cm3


(11)
A geometry-optimized ZnBi structure, computed with PBE.

Cell: 4.6559 14.8072 5.5957 Å, 90.00 90.00 90.00°
Positions (direct):
Bi (0.2934, 0.9598, 0.5000)
Zn (0.8180, 0.8355, 0.5000)
Zn (0.0173, 0.2500, 0.0000)
Zn (0.5153, 0.3355, 0.0000)
Bi (0.5955, 0.8697, 0.0000)
Zn (0.8180, 0.6645, 0.5000)
Bi (0.5955, 0.6303, 0.0000)
Zn (0.0880, 0.7500, 0.0000)
Bi (0.0399, 0.4597, 0.0000)
Zn (0.3160, 0.7500, 0.5000)
Bi (0.7379, 0.3697, 0.5000)
Zn (0.5153, 0.1645, 0.0000)
Zn (0.2453, 0.2500, 0.5000)
Bi (0.2934, 0.5402, 0.5000)
Bi (0.0399, 0.0403, 0.0000)
Bi (0.7379, 0.1303, 0.5000)

uncorrected energy	-2.52	eV/atom
SG	Pmmn (59)
calculated density	9.4	g/cm3


(12)
A geometry-optimized Zn2Bi structure, computed with PBE.

Cell: 5.8954 5.8953 4.3257 Å, 90.00 90.00 60.00°
Positions (direct):
Bi (0.3333, 0.3333, 0.0000)
Zn (0.6667, 0.6667, 0.0000)
Zn (0.9370, 0.3965, 0.5000)
Zn (0.3965, 0.6665, 0.5000)
Bi (0.0000, 0.0000, 0.0000)
Zn (0.6665, 0.9370, 0.5000)

uncorrected energy	-2.01	eV/atom
SG	P-62m (189)
calculated density	8.7	g/cm3


- Among the records above, which one has the lowest uncorrected energy?
  ZrBiW2